AlGeO after structural relaxation, computed with PBE.

```
data_AlGeO
_chemical_formula_sum 'Al2 Ge2 O2'
_cell_length_a 3.130
_cell_length_b 5.216
_cell_length_c 6.879
_cell_angle_alpha 96.69
_cell_angle_beta 103.06
_cell_angle_gamma 107.19
_symmetry_space_group_name_H-M 'P -1'
_symmetry_Int_Tables_number 2
loop_
_symmetry_equiv_pos_as_xyz
'x,y,z'
'-x,-y,-z'
loop_
_atom_site_label
_atom_site_type_symbol
_atom_site_fract_x
_atom_site_fract_y
_atom_site_fract_z
Al1 Al 0.200 0.055 0.345
Ge1 Ge 0.154 0.290 0.007
O1 O 0.184 0.822 0.544
```

Summary:
Magnetic moment   0.00 μB/f.u.
Raw formation energy   -4.009 eV per formula unit

Al4GeO7 after structural relaxation, computed with PBE.

```
data_Al4GeO7
_chemical_formula_sum 'Al8 Ge2 O14'
_cell_length_a 12.664
_cell_length_b 5.205
_cell_length_c 5.070
_cell_angle_alpha 90.00
_cell_angle_beta 90.00
_cell_angle_gamma 90.00
_symmetry_space_group_name_H-M 'P m n 21'
_symmetry_Int_Tables_number 31
loop_
_symmetry_equiv_pos_as_xyz
'x,y,z'
'-x+1/2,-y,z+1/2'
'-x,y,z'
'x+1/2,-y,z+1/2'
loop_
_atom_site_label
_atom_site_type_symbol
_atom_site_fract_x
_atom_site_fract_y
_atom_site_fract_z
Al1 Al 0.122 0.167 0.000
Al2 Al 0.242 0.670 0.985
Ge1 Ge 0.000 0.660 0.715
O1 O 0.000 0.320 0.916
O2 O 0.117 0.830 0.925
O3 O 0.155 0.185 0.327
O4 O 0.218 0.363 0.826
```

Summary:
Magnetic moment   0.00 μB/f.u.
Raw formation energy   -31.429 eV per formula unit

Al10Ge2O19 after structural relaxation, computed with PBE.

```
data_Al10Ge2O19
_chemical_formula_sum 'Al40 Ge8 O76'
_cell_length_a 5.927
_cell_length_b 30.822
_cell_length_c 7.828
_cell_angle_alpha 90.00
_cell_angle_beta 90.00
_cell_angle_gamma 90.00
_symmetry_space_group_name_H-M 'C m c 21'
_symmetry_Int_Tables_number 36
loop_
_symmetry_equiv_pos_as_xyz
'x,y,z'
'-x,-y,z+1/2'
'-x,y,z'
'x,-y,z+1/2'
'x+1/2,y+1/2,z'
'-x+1/2,-y+1/2,z+1/2'
'-x+1/2,y+1/2,z'
'x+1/2,-y+1/2,z+1/2'
loop_
_atom_site_label
_atom_site_type_symbol
_atom_site_fract_x
_atom_site_fract_y
_atom_site_fract_z
Al1 Al 0.000 0.024 0.000
Al2 Al 0.000 0.099 0.654
Al3 Al 0.000 0.277 0.969
Al4 Al 0.000 0.356 0.637
Al5 Al 0.000 0.402 0.155
Al6 Al 0.000 0.472 0.485
Al7 Al 0.243 0.441 0.828
Al8 Al 0.247 0.315 0.301
Ge1 Ge 0.000 0.118 0.034
Ge2 Ge 0.000 0.255 0.612
O1 O 0.000 0.026 0.394
O2 O 0.000 0.076 0.872
O3 O 0.000 0.098 0.242
O4 O 0.000 0.153 0.729
O5 O 0.000 0.225 0.860
O6 O 0.000 0.282 0.410
O7 O 0.000 0.303 0.760
O8 O 0.000 0.343 0.199
O9 O 0.000 0.402 0.755
O10 O 0.000 0.428 0.347
O11 O 0.000 0.475 0.901
O12 O 0.245 0.152 0.012
O13 O 0.246 0.277 0.100
O14 O 0.247 0.090 0.540
O15 O 0.249 0.468 0.612
```

Summary:
Magnetic moment   0.01 μB/f.u.
Raw formation energy   -84.081 eV per formula unit

Al3GeO after structural relaxation, computed with PBE.

```
data_Al3GeO
_chemical_formula_sum 'Al3 Ge1 O1'
_cell_length_a 4.256
_cell_length_b 4.256
_cell_length_c 4.256
_cell_angle_alpha 90.00
_cell_angle_beta 90.00
_cell_angle_gamma 90.00
_symmetry_space_group_name_H-M 'P m -3 m'
_symmetry_Int_Tables_number 221
_symmetry_space_group_name_Hall '-P 4 2 3'
loop_
_atom_site_label
_atom_site_type_symbol
_atom_site_fract_x
_atom_site_fract_y
_atom_site_fract_z
Al1 Al 0.000 0.000 0.500
Ge1 Ge 0.500 0.500 0.500
O1 O 0.000 0.000 0.000
```

Summary:
Magnetic moment   0.00 μB/f.u.
Raw formation energy   -1.342 eV per formula unit

AlGe2O after structural relaxation, computed with PBE.

```
data_AlGe2O
_chemical_formula_sum 'Al4 Ge8 O4'
_cell_length_a 6.255
_cell_length_b 6.255
_cell_length_c 6.255
_cell_angle_alpha 90.00
_cell_angle_beta 90.00
_cell_angle_gamma 90.00
_symmetry_space_group_name_H-M 'F m -3 m'
_symmetry_Int_Tables_number 225
_symmetry_space_group_name_Hall '-F 4 2 3'
loop_
_atom_site_label
_atom_site_type_symbol
_atom_site_fract_x
_atom_site_fract_y
_atom_site_fract_z
Al1 Al 0.000 0.000 0.000
Ge1 Ge 0.250 0.250 0.250
O1 O 0.000 0.000 0.500
```

Summary:
Magnetic moment   0.00 μB/f.u.
Raw formation energy   1.001 eV per formula unit

AlGeP2O after structural relaxation, computed with PBE.

```
data_AlGeP2O
_chemical_formula_sum 'Al1 Ge1 P2 O1'
_cell_length_a 4.998
_cell_length_b 4.998
_cell_length_c 3.370
_cell_angle_alpha 90.00
_cell_angle_beta 90.00
_cell_angle_gamma 90.00
_symmetry_space_group_name_H-M 'P 4/m m m'
_symmetry_Int_Tables_number 123
_symmetry_space_group_name_Hall '-P 4 2'
loop_
_atom_site_label
_atom_site_type_symbol
_atom_site_fract_x
_atom_site_fract_y
_atom_site_fract_z
Al1 Al 0.000 0.000 0.000
Ge1 Ge 0.500 0.500 0.500
P1 P 0.000 0.500 0.000
O1 O 0.000 0.000 0.500
```

Summary:
Magnetic moment   0.00 μB/f.u.
Raw formation energy   -0.785 eV per formula unit